Entry 1:
Compound: La4Sm5Ho
Source: the Alexandria database
Functional: PBE
Structure: relaxed

Computed properties:
Space group   P4/nmm (129)
Energy relative to the elements   159.6 kJ/mol of formula units
Relative energy among the computed polymorphs   0.00 eV/f.u.

a = 5.9415 Å, b = 10.7873 Å, c = 10.7875 Å
α = 90.00°, β = 90.00°, γ = 90.00°
Positions (direct):
La1 0.6280 0.0000 0.7025
La2 0.6279 0.7025 0.0000
La3 0.6279 0.2975 0.0000
La4 0.6280 0.0000 0.2975
La5 0.3720 0.5000 0.2025
La6 0.3721 0.7975 0.5000
La7 0.3721 0.2025 0.5000
La8 0.3720 0.5000 0.7975
Sm1 0.1530 0.8407 0.8407
Sm2 0.1530 0.1593 0.8407
Sm3 0.0000 0.5000 0.0000
Sm4 0.1530 0.8407 0.1593
Sm5 0.1530 0.1593 0.1593
Sm6 0.8470 0.6593 0.3407
Sm7 0.8470 0.3407 0.3407
Sm8 0.0000 0.0000 0.5000
Sm9 0.8470 0.3407 0.6593
Sm10 0.8470 0.6593 0.6593
Ho1 0.6454 0.0000 0.0000
Ho2 0.3546 0.5000 0.5000


Entry 2:
Compound: La7Sm2Ho
Source: the Alexandria database
Functional: PBE
Structure: relaxed

Computed properties:
Space group   Cmmm (65)
Energy relative to the elements   552.2 kJ/mol of formula units
Relative energy among the computed polymorphs   4.41 eV/f.u.

a = 5.6539 Å, b = 9.3381 Å, c = 9.3381 Å
α = 122.47°, β = 90.00°, γ = 90.00°
Positions (direct):
La1 0.0000 0.7621 0.2379
La2 0.0000 0.2379 0.7621
La3 0.5000 0.0716 0.2985
La4 0.5000 0.9284 0.7015
La5 0.5000 0.2985 0.0716
La6 0.5000 0.7015 0.9284
La7 0.5000 0.5000 0.5000
Sm1 0.5000 0.7023 0.2977
Sm2 0.5000 0.2977 0.7023
Ho1 0.0000 0.0000 0.0000


Entry 3:
Compound: La12Sm7Ho
Source: the Alexandria database
Functional: PBE
Structure: relaxed

Computed properties:
Space group   R-3m (166)
Energy relative to the elements   341.8 kJ/mol of formula units
Relative energy among the computed polymorphs   0.00 eV/f.u.

a = 6.4232 Å, b = 11.5787 Å, c = 11.5787 Å
α = 116.66°, β = 100.66°, γ = 100.66°
Positions (direct):
La1 0.0928 0.5923 0.1848
La2 0.0921 0.1848 0.5926
La3 0.5703 0.6453 0.0005
La4 0.4301 0.0005 0.3552
La5 0.4995 0.4074 0.5923
La6 0.0749 0.6448 0.6453
La7 0.9251 0.3552 0.3547
La8 0.5005 0.5926 0.4077
La9 0.5699 0.9995 0.6448
La10 0.4297 0.3547 0.9995
La11 0.9079 0.8152 0.4074
La12 0.9072 0.4077 0.8152
Sm1 0.1150 0.7497 0.0005
Sm2 0.8855 0.0005 0.2508
Sm3 0.6347 0.7492 0.7497
Sm4 0.5000 0.0000 0.0000
Sm5 0.3653 0.2508 0.2503
Sm6 0.1145 0.9995 0.7492
Sm7 0.8850 0.2503 0.9995
Ho1 0.0000 0.0000 0.0000


Entry 4:
Compound: La2SmHo
Source: the Alexandria database
Functional: PBE
Structure: relaxed

Computed properties:
Space group   P4/mmm (123)
Energy relative to the elements   6.5 kJ/mol of formula units
Relative energy among the computed polymorphs   0.02 eV/f.u.

a = 5.0891 Å, b = 5.2098 Å, c = 5.2098 Å
α = 90.00°, β = 90.00°, γ = 90.00°
Positions (direct):
Ho1 0.5000 0.5000 0.5000
Sm1 0.5000 0.0000 0.0000
La1 0.0000 0.0000 0.5000
La2 0.0000 0.5000 0.0000


Entry 5:
Compound: La5Sm2Ho4
Source: the Alexandria database
Functional: PBE
Structure: relaxed

Computed properties:
Space group   Immm (71)
Energy relative to the elements   177.1 kJ/mol of formula units
Relative energy among the computed polymorphs   1.01 eV/f.u.

a = 3.5658 Å, b = 9.3120 Å, c = 12.8746 Å
α = 111.20°, β = 97.96°, γ = 90.00°
Positions (direct):
La1 0.8542 0.0551 0.7083
La2 0.8542 0.6532 0.7083
La3 0.1458 0.3468 0.2917
La4 0.1458 0.9449 0.2917
La5 0.5000 0.0000 0.0000
Sm1 0.2687 0.2687 0.5373
Sm2 0.7313 0.7313 0.4627
Ho1 0.0000 0.3163 0.0000
Ho2 0.5961 0.5961 0.1922
Ho3 0.0000 0.6837 0.0000
Ho4 0.4039 0.4039 0.8078


Entry 6:
Compound: La2Sm12Ho5
Source: the Alexandria database
Functional: PBE
Structure: relaxed

Computed properties:
Space group   C2/m (12)
Energy relative to the elements   230.8 kJ/mol of formula units
Relative energy among the computed polymorphs   0.00 eV/f.u.

a = 10.0316 Å, b = 9.5304 Å, c = 7.9523 Å
α = 89.97°, β = 90.00°, γ = 121.76°
Positions (direct):
La1 0.7890 0.0000 0.0000
La2 0.2110 0.0000 0.0000
Sm1 0.8357 0.6715 0.1248
Sm2 0.0387 0.6124 0.7937
Sm3 0.5737 0.6124 0.7937
Sm4 0.1676 0.7878 0.3900
Sm5 0.6202 0.7878 0.3900
Sm6 0.4489 0.8977 0.7106
Sm7 0.5511 0.1023 0.2894
Sm8 0.8324 0.2122 0.6100
Sm9 0.3797 0.2122 0.6100
Sm10 0.9613 0.3876 0.2063
Sm11 0.4263 0.3876 0.2063
Sm12 0.1643 0.3285 0.8752
Ho1 0.2477 0.4954 0.5079
Ho2 0.3534 0.7068 0.0821
Ho3 0.0000 0.0000 0.5000
Ho4 0.6466 0.2932 0.9179
Ho5 0.7523 0.5046 0.4921


- What is the energy relative to the elements in the second record?
  552.2 kJ/mol of formula units